(1)
Computed, not measured: crystalline ErReTc at its relaxed geometry at the PBE level of DFT.

Geometry as POSCAR:
```
ErReTc
1.0
-4.6197 0.3904 -2.7238
2.8766 -4.5127 -0.5224
-4.2643 -2.9782 1.3632
Tc Re Er
2 2 2
direct
0.0000 0.5000 0.0000
0.5000 0.0000 0.0000
0.5000 0.5000 0.0000
0.0000 0.5000 0.5000
0.7500 0.8750 0.3750
0.2500 0.1250 0.6250
```

Computed properties:
offset from the most stable computed form	0.028	eV/atom
energy of formation	-0.6	eV per formula unit
symmetry	Imma, No. 74

(2)
Computed, not measured: crystalline ErReTc2 at its relaxed geometry at the PBE level of DFT.

Geometry as POSCAR:
```
ErReTc2
1.0
8.4120 -3.6521 0.0000
-3.7324 8.3808 0.0000
0.0000 0.0000 6.6718
Re Tc Er
4 8 4
direct
0.0000 0.7500 0.8748
0.0000 0.2500 0.1252
0.5000 0.7500 0.6243
0.5000 0.2500 0.3757
0.5000 0.0000 0.5000
0.0000 0.0000 0.0000
0.5000 0.5000 0.5000
0.2494 0.2493 0.2506
0.7506 0.2507 0.2506
0.0000 0.5000 0.0000
0.7506 0.7507 0.7494
0.2494 0.7493 0.7494
0.5000 0.7500 0.1244
0.0000 0.7500 0.3749
0.5000 0.2500 0.8756
0.0000 0.2500 0.6251
```

Computed properties:
energy of formation	3.6	eV per formula unit
symmetry	P2/c, No. 13

What are the DFT total energy values for these records? In order: -9.34 -8.55 eV per atom.